LaTb3C: optimized geometry, GGA-PBE.

Fermi-level density of states in states/eV/f.u.: 5.161
Calculated volume in Å³ per atom: 26.63
DFT formation energy in eV/atom: 0.010

a = 5.107 Å, b = 5.107 Å, c = 5.107 Å
α = 90.00°, β = 90.00°, γ = 90.00°
Sites, in units of the cell vectors:
C: 0.000 0.000 0.000
La: 0.500 0.500 0.500
Tb: 0.500 0.000 0.000
Tb: 0.000 0.000 0.500
Tb: 0.000 0.500 0.000